A relaxed structure of Nd, computed with GGA-PBE.

Unit cell a=3.7225 b=3.7225 c=5.9482 alpha=90.00 beta=90.00 gamma=120.00
Last column: nearest neighbours and their distance in Å.
Sites, in units of the cell vectors:
Nd: 0.6667 0.3333 0.7500  12 Nd 3.67-3.72
Nd: 0.3333 0.6667 0.2500  12 Nd 3.67-3.72

Values from the calculation:
offset from the most stable computed form = 28.4 meV per atom
total magnetization = 0.00 μB/cell